Record 1
A relaxed structure of K2LaTa, computed with GGA-PBE.

For the energy above the lowest structure with this stoichiometry, the calculation gives 0.00 eV per formula unit. For the formation energy, the calculation gives 0.800 eV per atom.

The structure belongs to space group C2/m (No. 12); the cell edges are 21.5660, 3.2805 and 5.1126 Å and the angles 90.00°, 103.54° and 90.00°. The distinct sites, in fractional coordinates, are K at (0.1576, 0.0000, 0.1548), La at (0.0000, 0.0000, 0.5000) and Ta at (0.0000, 0.5000, 0.0000).

=====

Record 2
A relaxed structure of KLaTa, computed with GGA-PBE.

For the energy above the lowest structure with this stoichiometry, the calculation gives 0.98 eV per formula unit. For the formation energy, the calculation gives 1.147 eV per atom.

The structure belongs to space group P-6m2 (No. 187); the cell edges are 5.8246, 5.8246 and 2.8949 Å and the angles 90.00°, 90.00° and 120.00°. The distinct sites, in fractional coordinates, are K at (0.0000, 0.0000, 0.0000), La at (0.6667, 0.3333, 0.0000) and Ta at (0.3333, 0.6667, 0.5000).

=====

Record 3
A relaxed structure of K2LaTa, computed with GGA-PBE.

For the energy above the lowest structure with this stoichiometry, the calculation gives 2.78 eV per formula unit. For the formation energy, the calculation gives 1.494 eV per atom.

The structure belongs to space group P4/mmm (No. 123); the cell edges are 5.0358, 5.0358 and 6.0848 Å and the angles 90.00°, 90.00° and 90.00°. The distinct sites, in fractional coordinates, are K at (0.0000, 0.0000, 0.2372), La at (0.5000, 0.5000, 0.5000) and Ta at (0.5000, 0.5000, 0.0000).

=====

Record 4
A relaxed structure of K2LaTa, computed with GGA-PBE.

For the energy above the lowest structure with this stoichiometry, the calculation gives 2.00 eV per formula unit. For the formation energy, the calculation gives 1.299 eV per atom.

The structure belongs to space group I-4m2 (No. 119); the cell edges are 5.9009, 5.9009 and 8.3875 Å and the angles 90.00°, 90.00° and 90.00°. The distinct sites, in fractional coordinates, are K at (0.0000, 0.0000, 0.0000), K at (0.0000, 0.5000, 0.2500), La at (0.0000, 0.5000, 0.7500) and Ta at (0.0000, 0.0000, 0.5000).

=====

Record 5
A relaxed structure of K2LaTa, computed with GGA-PBE.

For the energy above the lowest structure with this stoichiometry, the calculation gives 0.99 eV per formula unit. For the formation energy, the calculation gives 1.048 eV per atom.

The structure belongs to space group Pmmm (No. 47); the cell edges are 3.3553, 5.6073 and 7.0500 Å and the angles 90.00°, 90.00° and 90.00°. The distinct sites, in fractional coordinates, are K at (0.0000, 0.0000, 0.0000), K at (0.5000, 0.5000, 0.0000), La at (0.0000, 0.5000, 0.5000) and Ta at (0.5000, 0.0000, 0.5000).

=====

Record 6
A relaxed structure of K2LaTa, computed with GGA-PBE.

For the energy above the lowest structure with this stoichiometry, the calculation gives 0.92 eV per formula unit. For the formation energy, the calculation gives 1.029 eV per atom.

The structure belongs to space group Imm2 (No. 44); the cell edges are 3.1508, 7.1163 and 13.9650 Å and the angles 90.00°, 90.00° and 90.00°. The distinct sites, in fractional coordinates, are K at (0.0000, 0.0000, 0.0000), K at (0.0000, 0.5000, 0.2115), La at (0.0000, 0.5000, 0.8023) and Ta at (0.0000, 0.0000, 0.4733).

=====

Record 7
A relaxed structure of K2La2Ta, computed with GGA-PBE.

For the energy above the lowest structure with this stoichiometry, the calculation gives 0.82 eV per formula unit. For the formation energy, the calculation gives 0.952 eV per atom.

The structure belongs to space group I4/mmm (No. 139); the cell edges are 4.2229, 4.2229 and 21.0915 Å and the angles 90.00°, 90.00° and 90.00°. The distinct sites, in fractional coordinates, are K at (0.0000, 0.5000, 0.2500), La at (0.0000, 0.0000, 0.0776) and Ta at (0.0000, 0.0000, 0.5000).

=====

Record 8
A relaxed structure of KLaTa4, computed with GGA-PBE.

For the formation energy, the calculation gives 0.928 eV per atom.

The structure belongs to space group F-43m (No. 216); the cell edges are 8.3811, 8.3811 and 8.3811 Å and the angles 90.00°, 90.00° and 90.00°. The distinct sites, in fractional coordinates, are K at (0.0000, 0.0000, 0.0000), La at (0.2500, 0.2500, 0.7500) and Ta at (0.1176, 0.1176, 0.3824).

=====

Question: Number 3 is which compound?
Answer: K2LaTa